Material: K2NaBi
Method: DFT, PBE
State: relaxed

a = 3.8565 Å, b = 3.8565 Å, c = 14.1018 Å
α = 82.14°, β = 82.14°, γ = 60.00°
Positions (direct):
Bi 0.0000 0.0000 0.0000
K 0.0816 0.0816 0.7553
K 0.9184 0.9184 0.2447
Na 0.5000 0.5000 0.5000

E_form in eV/atom: 0.124
V in Å³/cell: 179.36
Fermi-level density of states in states/eV per atom: 0.9261
Space-group type: R-3m